[1]
Density functional theory data (PBE) for a relaxed Ac2PrPuO8 crystal.

a = 4.2355 Å, b = 5.7854 Å, c = 7.7741 Å
α = 90.00°, β = 90.00°, γ = 96.33°
Site moments in Bohr magnetons follow the coordinates.
Fractional coordinates of all 12 atoms:
Ac 0.5000 0.5000 0.7489  -0.01
Ac 0.5000 0.5000 0.2511  -0.01
Pr 0.0000 0.0000 0.5000  0.00
Pu 0.0000 0.0000 0.0000  1.48
O 0.0537 0.7767 0.2117  -0.06
O 0.5955 0.8018 0.0000  -0.07
O 0.9463 0.2232 0.2117  -0.06
O 0.9463 0.2233 0.7883  -0.06
O 0.4045 0.1982 0.0000  -0.07
O 0.0537 0.7768 0.7883  -0.06
O 0.5126 0.7505 0.5000  -0.01
O 0.4874 0.2495 0.5000  -0.01

Output
Formation energy without anion corrections, meV/atom: -2990
Space-group type: P2/m, No. 10
Total magnetic moment, μB/cell: 1.00



[2]
Density functional theory data (PBE) for a relaxed Y5Pt4O crystal.

a = 5.4582 Å, b = 6.8266 Å, c = 6.8266 Å
α = 80.80°, β = 66.44°, γ = 66.44°
Fractional coordinates of all 10 atoms:
Y 0.8755 0.3730 0.8744
Y 0.2485 0.8744 0.6270
Y 0.7500 0.1256 0.3730
Y 0.1229 0.6270 0.1256
Y 0.4753 0.0000 0.0000
Pt 0.4306 0.4080 0.7307
Pt 0.8386 0.7307 0.5920
Pt 0.1613 0.2693 0.4080
Pt 0.5693 0.5920 0.2693
O 0.0384 0.0000 0.0000

Output
Formation energy without anion corrections, meV/atom: -1443
Space-group type: I4, No. 79
Total magnetic moment, μB/cell: 0.00



[3]
Density functional theory data (PBE) for a relaxed TbPm2DyY6 crystal.

a = 9.7701 Å, b = 8.7930 Å, c = 8.7930 Å
α = 117.76°, β = 94.94°, γ = 94.94°
Fractional coordinates of all 20 atoms:
Tb 0.2500 0.9809 0.0191
Tb 0.7500 0.0191 0.9809
Pm 0.4558 0.8065 0.7061
Pm 0.0442 0.2939 0.1935
Pm 0.5442 0.1935 0.2939
Pm 0.9558 0.7061 0.8065
Dy 0.2500 0.4067 0.5933
Dy 0.7500 0.5933 0.4067
Y 0.0567 0.1228 0.7465
Y 0.4433 0.2535 0.8772
Y 0.9433 0.8772 0.2535
Y 0.5567 0.7465 0.1228
Y 0.3144 0.9805 0.4252
Y 0.1856 0.5748 0.0195
Y 0.6856 0.0195 0.5748
Y 0.8144 0.4252 0.9805
Y 0.1184 0.7057 0.4965
Y 0.3816 0.5035 0.2943
Y 0.8816 0.2943 0.5035
Y 0.6184 0.4965 0.7057

Output
DFT formation energy, meV/atom: 113
Space-group type: C2/c, No. 15
Total magnetic moment, μB/cell: 0.00



[4]
Density functional theory data (PBE) for a relaxed NbSi3Ag crystal.

a = 4.7408 Å, b = 4.7408 Å, c = 4.7408 Å
α = 90.00°, β = 90.00°, γ = 90.00°
Site moments in Bohr magnetons follow the coordinates.
Fractional coordinates of all 5 atoms:
Nb 0.5000 0.5000 0.5000  1.96
Si 0.0000 0.5000 0.0000  0.01
Si 0.0000 0.0000 0.5000  0.02
Si 0.5000 0.0000 0.0000  0.02
Ag 0.0000 0.0000 0.0000  0.02

Output
Formation energy without anion corrections, meV/atom: 1424
Space-group type: Pm-3m, No. 221
Energy relative to the lowest polymorph listed for this composition, meV/atom: 680.1
Total magnetic moment, μB/cell: 2.62